Record 1
The following is a meta-GGA SCAN calculation of a PBEsol-optimized structure of KYCo, from the Alexandria database.

Geometry as extended XYZ:
```
3
Lattice="0.000 3.376 3.376 3.376 0.000 3.376 3.376 3.376 0.000" Properties=species:S:1:pos:R:3 pbc="T T T"
K 0.000 0.000 0.000
Y 3.376 3.376 3.376
Co 5.063 5.063 5.063
```

Summary:
* space-group type: F-43m
* energy of formation: 1.0400 eV per atom
* energy above the lowest structure with this stoichiometry: 636 meV/atom

Record 2
The following is a meta-GGA SCAN calculation of a PBEsol-optimized structure of LiTi2TlSe, from the Alexandria database.

Geometry as extended XYZ:
```
5
Lattice="4.602 0.000 0.000 0.000 4.602 0.000 0.000 0.000 4.433" Properties=species:S:1:pos:R:3 pbc="T T T"
Li 0.000 0.000 0.000
Ti 0.000 2.301 0.000
Ti 2.301 0.000 0.000
Tl 0.000 0.000 2.216
Se 2.301 2.301 2.216
```

Summary:
* space-group type: P4/mmm
* total DFT energy (no corrections): -1.8234 Ry per atom

Record 3
The following is a meta-GGA SCAN calculation of a PBEsol-optimized structure of Nb2NiTe2, from the Alexandria database.

Geometry as extended XYZ:
```
5
Lattice="-1.910 1.910 7.568 1.910 -1.910 7.568 1.910 1.910 -7.568" Properties=species:S:1:pos:R:3 pbc="T T T"
Nb 1.910 0.000 3.784
Nb 0.000 1.910 3.784
Ni 0.000 0.000 0.000
Te 0.000 0.000 5.914
Te 0.000 0.000 9.223
```

Summary:
* space-group type: I4/mmm
* total DFT energy (no corrections): -2.2769 Ry per atom

Record 4
The following is a meta-GGA SCAN calculation of a PBEsol-optimized structure of CdIn2Rh, from the Alexandria database.

Geometry as extended XYZ:
```
4
Lattice="1.597 0.922 8.992 -1.597 0.922 8.992 0.000 -1.844 8.992" Properties=species:S:1:pos:R:3 pbc="T T T"
Cd 0.000 0.000 0.000
In 0.000 0.000 6.464
In 0.000 0.000 20.511
Rh 0.000 0.000 13.487
```

Summary:
* space-group type: R-3m
* energy of formation: -0.0704 eV per atom

Record 5
The following is a meta-GGA SCAN calculation of a PBEsol-optimized structure of Tc2RuBr, from the Alexandria database.

Geometry as extended XYZ:
```
4
Lattice="2.872 0.000 0.000 0.000 4.441 0.000 0.000 0.000 4.591" Properties=species:S:1:pos:R:3 pbc="T T T"
Tc 0.000 0.000 0.000
Tc 1.436 2.221 0.000
Ru 0.000 2.221 2.295
Br 1.436 0.000 2.295
```

Summary:
* space-group type: Pmmm
* energy above the lowest structure with this stoichiometry: 142 meV/atom

Record 6
The following is a meta-GGA SCAN calculation of a PBEsol-optimized structure of LiAlNi, from the Alexandria database.

Geometry as extended XYZ:
```
3
Lattice="0.000 2.817 2.817 2.817 0.000 2.817 2.817 2.817 0.000" Properties=species:S:1:pos:R:3 pbc="T T T"
Li 0.000 0.000 0.000
Al 4.225 4.225 4.225
Ni 2.817 2.817 2.817
```

Summary:
* space-group type: F-43m
* energy of formation: 0.1462 eV per atom

Record 7
The following is a meta-GGA SCAN calculation of a PBEsol-optimized structure of PWO4F, from the Alexandria database.

Geometry as extended XYZ:
```
14
Lattice="3.728 -3.716 0.000 3.728 3.716 0.000 -3.513 0.000 6.630" Properties=species:S:1:pos:R:3 pbc="T T T"
P 1.093 2.826 4.973
P 2.850 -2.826 1.658
W 1.864 1.858 0.000
W 0.107 -1.858 3.315
O 0.051 1.908 5.634
O -0.196 0.027 2.737
O -1.953 -0.027 6.052
O 2.135 1.908 4.311
O 1.808 -1.908 2.319
O 5.896 0.027 0.578
O 4.139 -0.027 3.893
O 3.892 -1.908 0.996
F 2.850 1.206 1.658
F 1.093 -1.206 4.973
```

Summary:
* space-group type: C2/c
* total DFT energy (no corrections): -1.3016 Ry per atom

Record 8
The following is a meta-GGA SCAN calculation of a PBEsol-optimized structure of TaAg2Br, from the Alexandria database.

Geometry as extended XYZ:
```
4
Lattice="-1.485 2.309 5.423 1.485 -2.309 5.423 1.485 2.309 -5.423" Properties=species:S:1:pos:R:3 pbc="T T T"
Ta 0.000 0.000 0.000
Ag 1.485 0.000 2.474
Ag 0.000 2.309 2.949
Br 0.000 0.000 5.423
```

Summary:
* space-group type: Immm
* energy above the lowest structure with this stoichiometry: 308 meV/atom